Entry 1:
Entry from Alexandria via LeMat-Bulk: a geometry-optimized NaCu3Cl9 structure (PBE).

Calculated values
SG: Cc (9)
Total moment: 1.12 μB per formula unit
E: -74.11 eV per cell
E_form (uncorrected): -525 meV/atom

abc: 7.532 9.918 11.054
angles: 84.52 70.08 67.68
Element x y z (fractional)
Na  0.984  0.457  0.944
Na  0.615  0.957  0.444
Cu  0.756  0.560  0.651
Cu  0.033  0.060  0.151
Cu  0.957  0.969  0.893
Cu  0.182  0.469  0.393
Cu  0.612  0.248  0.714
Cu  0.426  0.748  0.214
Cl  0.372  0.238  0.367
Cl  0.023  0.738  0.867
Cl  0.410  0.329  0.908
Cl  0.353  0.829  0.408
Cl  0.238  0.015  0.811
Cl  0.936  0.515  0.311
Cl  0.569  0.655  0.017
Cl  0.758  0.155  0.517
Cl  0.972  0.861  0.226
Cl  0.940  0.361  0.726
Cl  0.529  0.782  0.671
Cl  0.019  0.282  0.171
Cl  0.465  0.526  0.281
Cl  0.728  0.026  0.781
Cl  0.525  0.475  0.641
Cl  0.359  0.975  0.141
Cl  0.798  0.141  0.054
Cl  0.007  0.641  0.554

Entry 2:
Entry from Alexandria via LeMat-Bulk: a geometry-optimized SbPd6Pt3 structure (PBE).

Calculated values
SG: P2_1/m (11)
Total moment: 0.00 μB per formula unit
E: -109.79 eV per cell
E_form (uncorrected): -149 meV/atom

abc: 4.005 8.871 12.867
angles: 135.47 90.00 90.00
Element x y z (fractional)
Sb  0.750  0.058  0.630
Sb  0.250  0.942  0.370
Pd  0.750  0.640  0.796
Pd  0.250  0.360  0.204
Pd  0.750  0.852  0.190
Pd  0.250  0.148  0.810
Pd  0.750  0.255  0.007
Pd  0.250  0.745  0.993
Pd  0.750  0.675  0.312
Pd  0.250  0.325  0.688
Pd  0.750  0.244  0.498
Pd  0.250  0.756  0.502
Pd  0.750  0.841  0.704
Pd  0.250  0.159  0.296
Pt  0.750  0.453  0.905
Pt  0.250  0.547  0.095
Pt  0.750  0.453  0.401
Pt  0.250  0.547  0.599
Pt  0.750  0.053  0.097
Pt  0.250  0.947  0.903

Entry 3:
Entry from Alexandria via LeMat-Bulk: a geometry-optimized Pm2SmSn4 structure (PBE).

Calculated values
SG: P-1 (2)
Total moment: 0.00 μB per formula unit
E: -67.39 eV per cell
Energy relative to the elements: -495 meV per atom

abc: 7.797 7.777 9.737
angles: 130.23 98.72 90.28
Element x y z (fractional)
Pm  0.625  0.375  0.750
Pm  0.625  0.875  0.250
Pm  0.625  0.375  0.250
Pm  0.125  0.375  0.750
Sm  0.168  0.669  0.500
Sm  0.082  0.081  0.000
Sn  0.959  0.186  0.344
Sn  0.291  0.564  0.156
Sn  0.843  0.613  0.654
Sn  0.838  0.942  0.593
Sn  0.349  0.245  0.406
Sn  0.407  0.137  0.846
Sn  0.412  0.808  0.907
Sn  0.901  0.505  0.094

Entry 4:
Entry from Alexandria via LeMat-Bulk: a geometry-optimized TbAl5Pt3 structure (PBE).

Calculated values
SG: Cmcm (63)
Total moment: 0.00 μB per formula unit
E: -99.40 eV per cell
Energy relative to the elements: -915 meV per atom

abc: 4.046 6.782 12.494
angles: 90.00 90.00 107.36
Element x y z (fractional)
Tb  0.854  0.707  0.750
Tb  0.146  0.293  0.250
Al  0.800  0.600  0.439
Al  0.200  0.400  0.939
Al  0.000  0.000  0.500
Al  0.000  0.000  0.000
Al  0.437  0.874  0.147
Al  0.563  0.126  0.853
Al  0.563  0.126  0.647
Al  0.800  0.600  0.061
Al  0.200  0.400  0.561
Al  0.437  0.874  0.353
Pt  0.389  0.777  0.949
Pt  0.871  0.742  0.250
Pt  0.389  0.777  0.551
Pt  0.611  0.223  0.449
Pt  0.129  0.258  0.750
Pt  0.611  0.223  0.051

Entry 5:
Entry from Alexandria via LeMat-Bulk: a geometry-optimized S2OF structure (PBE).

Calculated values
SG: Fm-3m (225)
Total moment: 0.00 μB per formula unit
E: -11.39 eV per cell
E_form (uncorrected): 923 meV/atom
Energy above the most stable polymorph in this dataset: 901 meV per atom

abc: 4.051 4.051 4.051
angles: 60.00 60.00 60.00
Element x y z (fractional)
S  0.250  0.250  0.250
S  0.750  0.750  0.750
O  0.000  0.000  0.000
F  0.500  0.500  0.500

Entry 6:
Entry from Alexandria via LeMat-Bulk: a geometry-optimized Ta2ReRh structure (PBE).

Calculated values
SG: P4/mmm (123)
Total moment: 0.00 μB per formula unit
E: -44.89 eV per cell
Energy relative to the elements: -346 meV per atom

abc: 4.465 3.283 4.466
angles: 90.00 90.00 90.00
Element x y z (fractional)
Ta  0.000  0.000  0.000
Ta  0.500  0.000  0.500
Re  0.500  0.500  0.000
Rh  0.000  0.500  0.500

Entry 7:
Entry from Alexandria via LeMat-Bulk: a geometry-optimized Sn3AsAu structure (PBE).

Calculated values
SG: Pm-3m (221)
Total moment: 0.00 μB per formula unit
E: -17.72 eV per cell
Energy relative to the elements: 443 meV per atom
Energy above the most stable polymorph in this dataset: 514 meV per atom

abc: 5.338 5.338 5.338
angles: 90.00 90.00 90.00
Element x y z (fractional)
As  0.500  0.500  0.500
Au  0.000  0.000  0.000
Sn  0.000  0.500  0.000
Sn  0.000  0.000  0.500
Sn  0.500  0.000  0.000

Entry 8:
Entry from Alexandria via LeMat-Bulk: a geometry-optimized Nd3IrPb structure (PBE).

Calculated values
SG: Pm-3m (221)
Total moment: 0.00 μB per formula unit
E: -28.76 eV per cell
Energy relative to the elements: -377 meV per atom
Energy above the most stable polymorph in this dataset: 232 meV per atom

abc: 5.534 5.534 5.534
angles: 90.00 90.00 90.00
Element x y z (fractional)
Pb  0.500  0.500  0.500
Ir  0.000  0.000  0.000
Nd  0.000  0.500  0.000
Nd  0.000  0.000  0.500
Nd  0.500  0.000  0.000

Entry 9:
Entry from Alexandria via LeMat-Bulk: a geometry-optimized FeTeBr2 structure (PBE).

Calculated values
SG: Imm2 (44)
Total moment: 2.73 μB per formula unit
E: -15.18 eV per cell
E_form (uncorrected): -58 meV/atom

abc: 7.809 7.809 7.809
angles: 153.63 136.64 51.46
Element x y z (fractional)
Br  0.921  0.921  0.000
Br  0.650  0.150  0.500
Fe  0.530  0.530  0.000
Te  0.399  0.899  0.500

Entry 10:
Entry from Alexandria via LeMat-Bulk: a geometry-optimized VCrCuBr structure (PBE).

Calculated values
SG: P1 (1)
Total moment: 0.24 μB per formula unit
E: -23.12 eV per cell
E_form (uncorrected): 347 meV/atom
Energy above the most stable polymorph in this dataset: 84 meV per atom

abc: 3.049 3.229 7.149
angles: 86.38 77.61 89.96
Element x y z (fractional)
Cr  0.050  0.166  0.448
Cu  0.864  0.118  0.819
Br  0.693  0.254  0.163
V  0.473  0.647  0.602

Entry 11:
Entry from Alexandria via LeMat-Bulk: a geometry-optimized Tb2Dy6YTm structure (PBE).

Calculated values
SG: C2/c (15)
Total moment: 0.00 μB per formula unit
E: -93.31 eV per cell
Energy relative to the elements: 115 meV per atom

abc: 9.537 8.764 8.764
angles: 118.24 93.95 93.95
Element x y z (fractional)
Tb  0.456  0.803  0.695
Tb  0.044  0.305  0.197
Tb  0.544  0.197  0.305
Tb  0.956  0.695  0.803
Dy  0.056  0.127  0.751
Dy  0.444  0.249  0.873
Dy  0.944  0.873  0.249
Dy  0.556  0.751  0.127
Dy  0.314  0.981  0.430
Dy  0.186  0.570  0.019
Dy  0.686  0.019  0.570
Dy  0.814  0.430  0.981
Dy  0.120  0.711  0.498
Dy  0.380  0.502  0.289
Dy  0.880  0.289  0.502
Dy  0.620  0.498  0.711
Y  0.250  0.978  0.022
Y  0.750  0.022  0.978
Tm  0.250  0.409  0.591
Tm  0.750  0.591  0.409

Entry 12:
Entry from Alexandria via LeMat-Bulk: a geometry-optimized Ta2FeW structure (PBE).

Calculated values
SG: F-43m (216)
Total moment: 1.02 μB per formula unit
E: -44.80 eV per cell
Energy relative to the elements: 79 meV per atom

abc: 4.476 4.476 4.476
angles: 60.00 60.00 60.00
Element x y z (fractional)
Fe  0.500  0.500  0.500
Ta  0.000  0.000  0.000
Ta  0.750  0.750  0.750
W  0.250  0.250  0.250

total moment of number 2 (SbPd6Pt3)?
0.00 μB per formula unit